A relaxed structure of BaLi2AlS. Source: the Alexandria database, functional GGA-PBE. Values from VASP.

```
&SYSTEM
  ibrav = 0, nat = 5, ntyp = 4
/
ATOMIC_SPECIES
Ba 137.33 Ba.upf
Li 6.94 Li.upf
Al 26.98 Al.upf
S 32.06 S.upf
CELL_PARAMETERS angstrom
4.8571 0.0000 0.0000
0.0000 4.8571 0.0000
0.0000 0.0000 5.7788
ATOMIC_POSITIONS angstrom
Ba 0.0000 0.0000 0.0000
Li 0.0000 2.4286 2.8894
Li 2.4286 0.0000 2.8894
Al 2.4286 2.4286 0.0000
S 2.4286 2.4286 2.8894
```

Summary:
ΔE_f (raw): -1.506 eV per formula unit